VASP calculation (PBE) on a geometry-optimized BaBeGa structure.

Unit cell a=4.3513 b=6.3500 c=6.3616 alpha=103.15 beta=102.05 gamma=101.98
Last column: nearest neighbours and their distance in Å.
Space group P1 (No. 1)
One atom of each set of equivalent atoms:
Ba  0.0000  0.0000  0.0000  4 Be 3.42-3.51, 4 Ga 3.49-3.69
Ba  0.4956  0.6255  0.3748  4 Ga 3.34-3.45, 4 Be 3.53-3.74
Be  0.2969  0.1620  0.5868  1 Be 2.18, 2 Ga 2.27
Be  0.7056  0.4148  0.8391  1 Be 2.18, 2 Ga 2.26-2.27
Ga  0.2282  0.5088  0.8181  3 Be 2.26-2.47
Ga  0.7737  0.1833  0.4917  3 Be 2.27-2.47

E_tot in eV/atom: -3.002
Energy relative to the elements in meV/atom: -111

VASP calculation (PBE) on a geometry-optimized Ca2NiRh structure.

Unit cell a=3.4659 b=3.4659 c=24.5321 alpha=90.00 beta=90.00 gamma=120.00
Last column: nearest neighbours and their distance in Å.
Space group R-3m (No. 166, hexagonal axes)
One atom of each set of equivalent atoms:
Ca  0.0000  0.0000  0.2500  3 Rh 2.86, 3 Ni 2.86
Ni  0.0000  0.0000  0.0000  6 Ca 2.86
Rh  0.0000  0.0000  0.5000  6 Ca 2.86

E_tot in eV/atom: -4.162
Energy relative to the elements in meV/atom: 122

VASP calculation (PBE) on a geometry-optimized RbCoCl3 structure.

Unit cell a=7.1392 b=7.1392 c=5.9018 alpha=90.00 beta=90.00 gamma=120.00
Last column: nearest neighbours and their distance in Å.
Space group P6_3/mmc (No. 194)
One atom of each set of equivalent atoms:
Rb  0.3333  0.6667  0.2500  12 Cl 3.57-3.67
Co  0.0000  0.0000  0.0000  6 Cl 2.43
Cl  0.1563  0.3126  0.7500  2 Co 2.43

E_tot in eV/atom: -3.870

VASP calculation (PBE) on a geometry-optimized SrSc3Tl structure.

Unit cell a=5.5384 b=5.5384 c=5.5384 alpha=90.00 beta=90.00 gamma=90.00
Last column: nearest neighbours and their distance in Å.
Space group Pm-3m (No. 221)
One atom of each set of equivalent atoms:
Sr  0.0000  0.0000  0.0000  12 Sc 3.92
Sc  0.0000  0.5000  0.5000  2 Tl 2.77
Tl  0.5000  0.5000  0.5000  6 Sc 2.77

E_tot in eV/atom: -4.265
Energy relative to the elements in meV/atom: 344

VASP calculation (PBE) on a geometry-optimized KBaSi structure.

Unit cell a=7.9976 b=7.9976 c=7.9976 alpha=90.00 beta=90.00 gamma=90.00
Last column: nearest neighbours and their distance in Å.
Space group F-43m (No. 216)
One atom of each set of equivalent atoms:
K  0.0000  0.0000  0.0000  4 Si 3.46
Ba  0.0000  0.0000  0.5000  4 Si 3.46
Si  0.2500  0.2500  0.2500  4 Ba 3.46, 4 K 3.46

E_tot in eV/atom: -2.739

VASP calculation (PBE) on a geometry-optimized Tb2CeThBi4 structure.

Unit cell a=7.8633 b=4.5522 c=7.8809 alpha=90.00 beta=109.48 gamma=90.00
Last column: nearest neighbours and their distance in Å.
Space group P2/m (No. 10)
One atom of each set of equivalent atoms:
Tb  0.0000  0.0000  0.0000  6 Bi 3.19
Tb  0.0000  0.5000  0.5000  6 Bi 3.18
Ce  0.5000  0.0000  0.5000  6 Bi 3.24-3.25
Th  0.5000  0.5000  0.0000  6 Bi 3.24-3.25
Bi  0.2427  0.0000  0.7472  3 Tb 3.18-3.19, 1 Ce 3.24, 2 Th 3.25
Bi  0.2432  0.5000  0.2478  3 Tb 3.18-3.19, 1 Th 3.24, 2 Ce 3.25

E_tot in eV/atom: -5.558
Energy relative to the elements in meV/atom: -791

VASP calculation (PBE) on a geometry-optimized KCdCoPb2 structure.

Unit cell a=5.1563 b=5.1563 c=5.2517 alpha=90.00 beta=90.00 gamma=90.00
Last column: nearest neighbours and their distance in Å.
Space group P4/mmm (No. 123)
One atom of each set of equivalent atoms:
K  0.0000  0.0000  0.0000  4 Cd 3.65, 8 Pb 3.68
Cd  0.5000  0.5000  0.0000  2 Co 2.63
Co  0.5000  0.5000  0.5000  4 Pb 2.58, 2 Cd 2.63
Pb  0.0000  0.5000  0.5000  2 Co 2.58

E_tot in eV/atom: -3.213
Energy relative to the elements in meV/atom: 94

VASP calculation (PBE) on a geometry-optimized DyTmAlGe structure.

Unit cell a=3.9938 b=4.3345 c=10.7959 alpha=90.00 beta=90.00 gamma=90.00
Last column: nearest neighbours and their distance in Å.
Space group Amm2 (No. 38)
One atom of each set of equivalent atoms:
Dy  0.0000  0.0000  0.0000  4 Ge 3.02, 3 Al 3.06-3.19
Tm  0.5000  0.0000  0.2818  3 Ge 3.03-3.21, 4 Al 3.03
Al  0.0000  0.0000  0.7170  2 Ge 2.60
Ge  0.5000  0.0000  0.5620  2 Al 2.60

E_tot in eV/atom: -5.043
Energy relative to the elements in meV/atom: -684

- What is the E_tot in the fourth record?
  -4.265 eV/atom

Repeat the seventh record exactly.
VASP calculation (PBE) on a geometry-optimized KCdCoPb2 structure.

Unit cell a=5.1563 b=5.1563 c=5.2517 alpha=90.00 beta=90.00 gamma=90.00
Last column: nearest neighbours and their distance in Å.
Space group P4/mmm (No. 123)
One atom of each set of equivalent atoms:
K  0.0000  0.0000  0.0000  4 Cd 3.65, 8 Pb 3.68
Cd  0.5000  0.5000  0.0000  2 Co 2.63
Co  0.5000  0.5000  0.5000  4 Pb 2.58, 2 Cd 2.63
Pb  0.0000  0.5000  0.5000  2 Co 2.58

E_tot in eV/atom: -3.213
Energy relative to the elements in meV/atom: 94